1:
! Sr2Y2Au PBE relaxed; values from VASP
! * size of the total moment: 1.3 μB per formula unit
! * ρ: 5.0 g/cm3
&SYSTEM
  ibrav = 0, nat = 10, ntyp = 3
/
ATOMIC_SPECIES
Sr 87.62 Sr.upf
Au 196.97 Au.upf
Y 88.91 Y.upf
ATOMIC_POSITIONS angstrom
Sr 0.708 -1.064 2.677
Sr 1.962 -2.414 6.446
Sr -2.824 -3.297 3.053
Sr -1.570 -4.647 6.822
Au 0.000 0.000 0.000
Au -0.431 -2.855 4.750
Y 0.780 0.973 5.980
Y -2.454 0.554 3.363
Y -4.323 -2.013 6.084
Y -1.089 -1.594 8.701
CELL_PARAMETERS angstrom
-5.378 -4.805 3.129
4.516 -0.906 6.370
-2.681 4.671 2.565



2:
! Sr2Y2Au PBE relaxed; values from VASP
! * size of the total moment: 0.0 μB per formula unit
! * ρ: 4.8 g/cm3
&SYSTEM
  ibrav = 0, nat = 5, ntyp = 3
/
ATOMIC_SPECIES
Y 88.91 Y.upf
Sr 87.62 Sr.upf
Au 196.97 Au.upf
ATOMIC_POSITIONS angstrom
Y -2.455 4.319 5.013
Y -1.559 6.254 2.876
Sr -1.960 2.533 1.471
Sr -2.054 8.040 6.418
Au 0.000 0.000 0.000
CELL_PARAMETERS angstrom
-1.751 3.373 -1.946
-3.544 -0.497 2.328
1.281 7.697 7.506



3:
! Sr2Y2Au PBE relaxed; values from VASP
! * size of the total moment: 1.6 μB per formula unit
! * ρ: 5.0 g/cm3
&SYSTEM
  ibrav = 0, nat = 10, ntyp = 3
/
ATOMIC_SPECIES
Sr 87.62 Sr.upf
Y 88.91 Y.upf
Au 196.97 Au.upf
ATOMIC_POSITIONS angstrom
Sr 1.316 5.166 3.108
Sr 5.166 6.386 3.108
Sr 6.386 2.535 3.108
Sr 2.535 1.316 3.108
Y 6.493 5.059 0.000
Y 1.209 2.642 0.000
Y 5.059 1.209 0.000
Y 2.642 6.493 0.000
Au 0.000 0.000 0.000
Au 3.851 3.851 0.000
CELL_PARAMETERS angstrom
7.701 0.000 0.000
0.000 7.701 0.000
0.000 0.000 6.216



Energetically preferred structure: 3 | next structure: +174 meV/atom



1:
! SrYAu3 PBE relaxed; values from VASP
! * size of the total moment: 0.0 μB per formula unit
! * ρ: 8.0 g/cm3
&SYSTEM
  ibrav = 0, nat = 5, ntyp = 3
/
ATOMIC_SPECIES
Au 196.97 Au.upf
Sr 87.62 Sr.upf
Y 88.91 Y.upf
ATOMIC_POSITIONS angstrom
Au 0.000 2.715 0.000
Au 2.715 0.000 0.000
Au 0.000 0.000 2.715
Sr 2.715 2.715 2.715
Y 0.000 0.000 0.000
CELL_PARAMETERS angstrom
5.431 0.000 0.000
0.000 5.431 0.000
0.000 0.000 5.431



2:
! SrYAu3 PBE relaxed; values from VASP
! * size of the total moment: 0.0 μB per formula unit
! * ρ: 8.0 g/cm3
&SYSTEM
  ibrav = 0, nat = 5, ntyp = 3
/
ATOMIC_SPECIES
Au 196.97 Au.upf
Y 88.91 Y.upf
Sr 87.62 Sr.upf
ATOMIC_POSITIONS angstrom
Au 0.172 -0.354 -2.685
Au -1.631 -2.162 0.180
Au -2.162 1.602 -0.350
Y -3.621 -0.913 -2.854
Sr 0.000 0.000 0.000
CELL_PARAMETERS angstrom
-4.324 3.204 -0.700
0.344 -0.708 -5.370
-3.261 -4.323 0.361



Energetically preferred structure: 1 | next structure: +562 meV/atom



1:
! SrY2Au2 PBE relaxed; values from VASP
! * size of the total moment: 0.0 μB per formula unit
! * ρ: 8.0 g/cm3
&SYSTEM
  ibrav = 0, nat = 10, ntyp = 3
/
ATOMIC_SPECIES
Au 196.97 Au.upf
Y 88.91 Y.upf
Sr 87.62 Sr.upf
ATOMIC_POSITIONS angstrom
Au 5.341 1.137 0.000
Au 3.067 7.271 0.000
Au 7.271 5.341 0.000
Au 1.137 3.067 0.000
Y 2.927 1.277 1.947
Y 7.131 2.927 1.947
Y 1.277 5.482 1.947
Y 5.482 7.131 1.947
Sr 0.000 0.000 0.000
Sr 4.204 4.204 0.000
CELL_PARAMETERS angstrom
8.408 0.000 0.000
0.000 8.408 0.000
0.000 0.000 3.893



2:
! SrY2Au2 PBE relaxed; values from VASP
! * size of the total moment: 0.0 μB per formula unit
! * ρ: 7.4 g/cm3
&SYSTEM
  ibrav = 0, nat = 5, ntyp = 3
/
ATOMIC_SPECIES
Y 88.91 Y.upf
Au 196.97 Au.upf
Sr 87.62 Sr.upf
ATOMIC_POSITIONS angstrom
Y -4.515 3.773 2.282
Y -5.230 0.551 3.489
Au -6.442 3.084 4.418
Au -3.302 1.240 1.353
Sr 0.000 0.000 0.000
CELL_PARAMETERS angstrom
-2.711 4.000 -1.158
-4.141 -2.443 1.257
-2.893 2.767 5.672



3:
! SrY2Au2 PBE relaxed; values from VASP
! * size of the total moment: 0.8 μB per formula unit
! * ρ: 6.8 g/cm3
&SYSTEM
  ibrav = 0, nat = 5, ntyp = 3
/
ATOMIC_SPECIES
Y 88.91 Y.upf
Au 196.97 Au.upf
Sr 87.62 Sr.upf
ATOMIC_POSITIONS angstrom
Y 5.379 5.379 3.836
Y 2.689 2.689 1.754
Au 5.379 2.689 2.795
Au 2.689 5.379 2.795
Sr 0.000 0.000 0.000
CELL_PARAMETERS angstrom
5.379 0.000 0.000
0.000 5.379 0.000
2.689 2.689 5.590



Energetically preferred structure: 1 | next structure: +34 meV/atom



1:
! SrYAu PBE relaxed; values from VASP
! * size of the total moment: 0.0 μB per formula unit
! * ρ: 6.6 g/cm3
&SYSTEM
  ibrav = 0, nat = 3, ntyp = 3
/
ATOMIC_SPECIES
Sr 87.62 Sr.upf
Y 88.91 Y.upf
Au 196.97 Au.upf
ATOMIC_POSITIONS angstrom
Sr 4.410 1.801 0.000
Y 7.732 3.157 0.000
Au 0.248 0.101 0.000
CELL_PARAMETERS angstrom
7.199 0.071 -0.010
5.192 4.988 0.010
-6.192 -2.539 2.656



2:
! SrYAu PBE relaxed; values from VASP
! * size of the total moment: 0.0 μB per formula unit
! * ρ: 6.3 g/cm3
&SYSTEM
  ibrav = 0, nat = 6, ntyp = 3
/
ATOMIC_SPECIES
Au 196.97 Au.upf
Y 88.91 Y.upf
Sr 87.62 Sr.upf
ATOMIC_POSITIONS angstrom
Au -0.573 -1.167 3.146
Au -3.313 2.531 4.338
Y -0.601 1.788 3.397
Y -3.285 -0.423 4.087
Sr -2.620 0.467 0.416
Sr -1.266 0.897 7.068
CELL_PARAMETERS angstrom
-4.935 0.029 -0.888
-0.434 -4.452 2.266
-1.201 3.576 6.795



Energetically preferred structure: 2 | next structure: +38 meV/atom



1:
! SrYAu PBE relaxed; values from VASP
! * size of the total moment: 0.0 μB per formula unit
! * ρ: 5.7 g/cm3
&SYSTEM
  ibrav = 0, nat = 3, ntyp = 3
/
ATOMIC_SPECIES
Sr 87.62 Sr.upf
Au 196.97 Au.upf
Y 88.91 Y.upf
ATOMIC_POSITIONS angstrom
Sr -1.460 -0.359 2.679
Au 2.483 1.257 5.977
Y 1.605 -1.385 5.340
CELL_PARAMETERS angstrom
-3.937 0.964 1.433
1.448 -4.041 0.248
2.558 1.295 6.158



2:
! SrYAu PBE relaxed; values from VASP
! * size of the total moment: 0.0 μB per formula unit
! * ρ: 6.2 g/cm3
&SYSTEM
  ibrav = 0, nat = 3, ntyp = 3
/
ATOMIC_SPECIES
Au 196.97 Au.upf
Y 88.91 Y.upf
Sr 87.62 Sr.upf
ATOMIC_POSITIONS angstrom
Au 0.000 0.000 4.077
Y 0.000 2.860 3.798
Sr 2.477 1.430 1.473
CELL_PARAMETERS angstrom
4.954 0.000 0.000
-2.477 4.291 0.000
0.000 0.000 4.674



Energetically preferred structure: 1 | next structure: +51 meV/atom



1:
! SrY3Au PBE relaxed; values from VASP
! * size of the total moment: 0.0 μB per formula unit
! * ρ: 5.4 g/cm3
&SYSTEM
  ibrav = 0, nat = 5, ntyp = 3
/
ATOMIC_SPECIES
Y 88.91 Y.upf
Au 196.97 Au.upf
Sr 87.62 Sr.upf
ATOMIC_POSITIONS angstrom
Y 0.000 0.000 2.774
Y 2.774 0.000 0.000
Y 0.000 2.774 0.000
Au 2.774 2.774 2.774
Sr 0.000 0.000 0.000
CELL_PARAMETERS angstrom
5.548 0.000 0.000
0.000 5.548 0.000
0.000 0.000 5.548



2:
! SrY3Au PBE relaxed; values from VASP
! * size of the total moment: 0.0 μB per formula unit
! * ρ: 5.0 g/cm3
&SYSTEM
  ibrav = 0, nat = 5, ntyp = 3
/
ATOMIC_SPECIES
Y 88.91 Y.upf
Sr 87.62 Sr.upf
Au 196.97 Au.upf
ATOMIC_POSITIONS angstrom
Y -0.768 2.493 -1.117
Y -0.037 -1.170 -2.585
Y -2.731 -0.685 0.349
Sr -3.536 0.638 -3.353
Au 0.000 0.000 0.000
CELL_PARAMETERS angstrom
-1.536 4.985 -2.234
-0.074 -2.340 -5.169
-5.462 -1.370 0.698



Energetically preferred structure: 2 | next structure: +1333 meV/atom



1:
! Sr8Zn2Au PBE relaxed; values from VASP
! * size of the total moment: 0.0 μB per formula unit
! * ρ: 3.4 g/cm3
&SYSTEM
  ibrav = 0, nat = 11, ntyp = 3
/
ATOMIC_SPECIES
Sr 87.62 Sr.upf
Au 196.97 Au.upf
Zn 65.41 Zn.upf
ATOMIC_POSITIONS angstrom
Sr -13.647 3.046 4.645
Sr -2.697 1.399 0.555
Sr -4.228 2.035 4.413
Sr -8.355 4.119 1.817
Sr -9.929 4.664 5.735
Sr -12.116 2.410 0.787
Sr -6.415 -0.219 -0.535
Sr -7.989 0.326 3.383
Au 0.000 0.000 0.000
Zn -5.729 2.211 1.525
Zn -10.614 2.234 3.674
CELL_PARAMETERS angstrom
-4.101 6.242 -1.031
-7.987 -2.821 -1.105
-4.256 1.024 7.336



2:
! Sr8Zn2Au PBE relaxed; values from VASP
! * size of the total moment: 0.0 μB per formula unit
! * ρ: 3.9 g/cm3
&SYSTEM
  ibrav = 0, nat = 11, ntyp = 3
/
ATOMIC_SPECIES
Sr 87.62 Sr.upf
Au 196.97 Au.upf
Zn 65.41 Zn.upf
ATOMIC_POSITIONS angstrom
Sr 0.000 1.935 8.233
Sr 0.000 1.237 4.291
Sr 2.816 2.789 1.916
Sr 2.816 3.488 5.858
Sr 0.000 -1.811 6.690
Sr 2.816 -1.239 9.254
Sr 0.000 5.963 0.894
Sr 2.816 6.535 3.459
Au 2.816 0.000 0.000
Zn 2.816 0.226 6.249
Zn 0.000 4.498 3.899
CELL_PARAMETERS angstrom
5.632 0.000 0.000
0.000 7.733 0.261
-2.816 -3.009 9.887



Energetically preferred structure: 1 | next structure: +7 meV/atom



1:
! SrZn9Au2 PBE relaxed; values from VASP
! * size of the total moment: 0.0 μB per formula unit
! * ρ: 7.9 g/cm3
&SYSTEM
  ibrav = 0, nat = 12, ntyp = 3
/
ATOMIC_SPECIES
Zn 65.41 Zn.upf
Sr 87.62 Sr.upf
Au 196.97 Au.upf
ATOMIC_POSITIONS angstrom
Zn -2.918 1.382 -0.725
Zn -4.124 -4.730 -2.038
Zn -4.174 -0.701 0.892
Zn -2.464 3.226 1.494
Zn -1.710 -3.927 -0.601
Zn -2.634 -1.311 -1.514
Zn -6.552 0.772 0.051
Zn -6.269 -1.921 -0.737
Zn -5.063 4.191 0.575
Sr 0.000 0.000 0.000
Au -4.425 1.684 1.590
Au -3.923 -3.085 0.194
CELL_PARAMETERS angstrom
-0.839 0.863 -3.247
-3.421 -7.854 -1.203
-4.927 6.453 2.987



2:
! SrZn9Au2 PBE relaxed; values from VASP
! * size of the total moment: 0.0 μB per formula unit
! * ρ: 8.5 g/cm3
&SYSTEM
  ibrav = 0, nat = 24, ntyp = 3
/
ATOMIC_SPECIES
Zn 65.41 Zn.upf
Sr 87.62 Sr.upf
Au 196.97 Au.upf
ATOMIC_POSITIONS angstrom
Zn 4.466 2.117 5.178
Zn 4.084 3.596 11.652
Zn -0.062 0.231 4.666
Zn 2.411 0.876 3.906
Zn -0.604 2.702 8.314
Zn 0.394 1.127 10.220
Zn -1.426 0.580 6.990
Zn 2.064 3.311 4.843
Zn 4.440 -0.441 9.385
Zn 1.612 2.951 12.412
Zn 3.622 3.804 7.013
Zn 5.463 0.542 7.084
Zn -0.409 2.666 5.604
Zn -0.428 -0.995 8.896
Zn 2.002 3.543 9.510
Zn 1.967 -1.086 10.146
Zn 0.000 0.000 0.000
Zn 4.620 2.229 8.920
Sr 2.017 0.837 7.266
Sr -0.015 2.706 2.244
Au 0.986 4.477 6.999
Au 3.026 1.255 10.899
Au 4.527 4.879 9.293
Au -0.531 3.560 10.849
CELL_PARAMETERS angstrom
-0.031 5.412 4.488
-3.034 -1.836 7.700
7.084 0.803 4.587



Energetically preferred structure: 2 | next structure: +133 meV/atom



1:
! Sr8ZnAu2 PBE relaxed; values from VASP
! * size of the total moment: 0.0 μB per formula unit
! * ρ: 3.6 g/cm3
&SYSTEM
  ibrav = 0, nat = 11, ntyp = 3
/
ATOMIC_SPECIES
Sr 87.62 Sr.upf
Au 196.97 Au.upf
Zn 65.41 Zn.upf
ATOMIC_POSITIONS angstrom
Sr 1.655 5.824 4.879
Sr 4.868 7.138 -2.605
Sr 1.655 1.312 2.292
Sr 1.655 1.326 7.493
Sr 4.868 2.641 0.009
Sr 1.625 5.644 0.000
Sr 4.898 2.821 4.888
Sr 4.868 7.152 2.596
Au 1.635 2.821 4.888
Au 4.888 5.644 0.000
Zn 0.000 -0.003 9.776
CELL_PARAMETERS angstrom
6.523 0.000 0.000
-0.001 8.467 -4.887
0.000 -0.003 9.776



2:
! Sr8ZnAu2 PBE relaxed; values from VASP
! * size of the total moment: 0.0 μB per formula unit
! * ρ: 4.4 g/cm3
&SYSTEM
  ibrav = 0, nat = 11, ntyp = 3
/
ATOMIC_SPECIES
Sr 87.62 Sr.upf
Zn 65.41 Zn.upf
Au 196.97 Au.upf
ATOMIC_POSITIONS angstrom
Sr 2.687 3.573 5.961
Sr 2.687 6.735 3.707
Sr 2.687 -1.195 9.247
Sr 2.687 3.080 2.003
Sr 0.000 1.856 8.247
Sr 0.000 1.363 4.289
Sr 0.000 -1.799 6.543
Sr 0.000 6.130 1.003
Zn 2.687 0.000 0.000
Au 0.000 4.580 3.982
Au 2.687 0.355 6.268
CELL_PARAMETERS angstrom
5.375 0.000 0.000
0.000 8.008 0.301
-2.687 -3.072 9.949



Energetically preferred structure: 2 | next structure: +104 meV/atom



1:
! Sr2ZnAu PBE relaxed; values from VASP
! * size of the total moment: 0.0 μB per formula unit
! * ρ: 7.0 g/cm3
&SYSTEM
  ibrav = 0, nat = 4, ntyp = 3
/
ATOMIC_SPECIES
Au 196.97 Au.upf
Zn 65.41 Zn.upf
Sr 87.62 Sr.upf
ATOMIC_POSITIONS angstrom
Au 5.268 3.041 2.151
Zn 7.902 4.562 3.226
Sr 2.634 1.521 1.075
Sr 0.000 0.000 0.000
CELL_PARAMETERS angstrom
5.268 0.000 0.000
2.634 4.562 0.000
2.634 1.521 4.301



2:
! Sr2ZnAu PBE relaxed; values from VASP
! * size of the total moment: 0.0 μB per formula unit
! * ρ: 5.3 g/cm3
&SYSTEM
  ibrav = 0, nat = 4, ntyp = 3
/
ATOMIC_SPECIES
Au 196.97 Au.upf
Zn 65.41 Zn.upf
Sr 87.62 Sr.upf
ATOMIC_POSITIONS angstrom
Au 4.471 2.581 0.019
Zn 4.468 2.580 3.980
Sr 2.236 1.291 1.822
Sr 2.239 1.293 6.159
CELL_PARAMETERS angstrom
4.467 0.004 0.002
2.237 3.866 0.002
2.239 1.293 7.982



3:
! Sr2ZnAu PBE relaxed; values from VASP
! * size of the total moment: 0.0 μB per formula unit
! * ρ: 5.3 g/cm3
&SYSTEM
  ibrav = 0, nat = 4, ntyp = 3
/
ATOMIC_SPECIES
Sr 87.62 Sr.upf
Zn 65.41 Zn.upf
Au 196.97 Au.upf
ATOMIC_POSITIONS angstrom
Sr 6.830 3.921 0.128
Sr 4.551 2.612 3.691
Zn 6.823 3.917 5.747
Au 2.274 1.306 1.916
CELL_PARAMETERS angstrom
4.545 -0.006 -0.006
2.287 3.928 -0.006
2.265 1.301 7.676



4:
! Sr2ZnAu PBE relaxed; values from VASP
! * size of the total moment: 0.0 μB per formula unit
! * ρ: 6.2 g/cm3
&SYSTEM
  ibrav = 0, nat = 4, ntyp = 3
/
ATOMIC_SPECIES
Au 196.97 Au.upf
Sr 87.62 Sr.upf
Zn 65.41 Zn.upf
ATOMIC_POSITIONS angstrom
Au -2.252 -2.998 0.829
Sr -0.048 -0.288 -0.012
Sr -1.676 -2.356 -2.379
Zn -0.843 -5.061 -0.208
CELL_PARAMETERS angstrom
-0.458 -5.570 -3.464
-1.415 -5.677 3.001
-2.009 6.168 -1.076



Energetically preferred structure: 3 | next structure: +13 meV/atom



1:
! Sr2ZnAu PBE relaxed; values from VASP
! * size of the total moment: 0.0 μB per formula unit
! * ρ: 6.2 g/cm3
&SYSTEM
  ibrav = 0, nat = 4, ntyp = 3
/
ATOMIC_SPECIES
Au 196.97 Au.upf
Sr 87.62 Sr.upf
Zn 65.41 Zn.upf
ATOMIC_POSITIONS angstrom
Au 1.928 5.853 5.833
Sr 0.000 3.903 3.935
Sr 0.000 3.907 7.725
Zn 1.928 1.951 1.944
CELL_PARAMETERS angstrom
3.855 0.000 0.000
0.000 3.896 0.007
0.000 3.908 7.771



2:
! Sr2ZnAu PBE relaxed; values from VASP
! * size of the total moment: 0.0 μB per formula unit
! * ρ: 5.9 g/cm3
&SYSTEM
  ibrav = 0, nat = 4, ntyp = 3
/
ATOMIC_SPECIES
Sr 87.62 Sr.upf
Au 196.97 Au.upf
Zn 65.41 Zn.upf
ATOMIC_POSITIONS angstrom
Sr -5.739 -4.659 2.489
Sr -3.337 -1.324 -1.463
Au -5.671 -3.219 -0.450
Zn -3.449 -2.800 1.496
CELL_PARAMETERS angstrom
-2.589 2.479 -1.330
0.005 -1.807 -3.370
-6.245 -5.070 2.708



Energetically preferred structure: 1 | next structure: +125 meV/atom